First-principles (GGA-PBE) data for Na3Ac2PuTe6 after structural relaxation, as listed in Alexandria via LeMat-Bulk.

Output
DFT total energy	-5.0340	eV/atom
N(E_F)	15.080	states/eV/f.u.
uncorrected formation energy	-1.25	eV per atom
volume	431.9	Å³ per cell

```
Na3Ac2PuTe6
1.0
4.073 -7.052 0.000
4.073 7.052 0.000
-2.721 0.000 7.517
Na Ac Pu Te
3 2 1 6
Direct
0.000 0.000 0.000 Na
0.332 0.668 0.000 Na
0.668 0.332 0.000 Na
0.166 0.834 0.500 Ac
0.834 0.166 0.500 Ac
0.500 0.500 0.500 Pu
0.098 0.418 0.255 Te
0.262 0.262 0.743 Te
0.418 0.098 0.255 Te
0.582 0.902 0.745 Te
0.738 0.738 0.257 Te
0.902 0.582 0.745 Te
```


First-principles (GGA-PBE) data for PuZrAs after structural relaxation, as listed in Alexandria via LeMat-Bulk.

Output
DFT total energy	-9.5628	eV/atom
N(E_F)	7.226	states/eV/f.u.
E_form	-0.386	eV/atom
volume	69.6	Å³ per cell

```
PuZrAs
1.0
4.640 0.000 0.000
-2.320 4.018 0.000
0.000 0.000 3.733
Pu Zr As
1 1 1
Direct
0.000 0.000 0.000 Pu
0.667 0.333 0.500 Zr
0.333 0.667 0.500 As
```


First-principles (GGA-PBE) data for LiInSn after structural relaxation, as listed in Alexandria via LeMat-Bulk.

Output
DFT total energy	-3.0450	eV/atom
N(E_F)	1.068	states/eV/f.u.
E_form	-0.160	eV/atom
volume	281.7	Å³ per cell

```
LiInSn
1.0
6.160 0.000 0.000
-1.927 7.105 0.000
-2.474 -3.261 6.438
Li In Sn
4 4 4
Direct
0.000 0.000 0.000 Li
0.218 0.879 0.558 Li
0.471 0.577 0.700 Li
0.734 0.259 0.840 Li
0.189 0.502 0.242 In
0.501 0.977 0.992 In
0.709 0.851 0.537 In
0.996 0.197 0.407 In
0.268 0.288 0.870 Sn
0.479 0.151 0.402 Sn
0.788 0.679 0.132 Sn
0.973 0.588 0.735 Sn
```


First-principles (GGA-PBE) data for DyMgGaSn after structural relaxation, as listed in Alexandria via LeMat-Bulk.

Output
DFT total energy	-3.6154	eV/atom
polymorph energy (0 for the lowest one)	171	meV/atom
N(E_F)	3.450	states/eV/f.u.
E_form	-0.309	eV/atom
volume	94.1	Å³ per cell

```
DyMgGaSn
1.0
0.000 3.611 3.611
3.611 0.000 3.611
3.611 3.611 0.000
Dy Mg Ga Sn
1 1 1 1
Direct
0.000 0.000 0.000 Dy
0.500 0.500 0.500 Mg
0.750 0.750 0.750 Ga
0.250 0.250 0.250 Sn
```


First-principles (GGA-PBE) data for Na3Hg8 after structural relaxation, as listed in Alexandria via LeMat-Bulk.

Output
DFT total energy	-0.7701	eV/atom
polymorph energy (0 for the lowest one)	0	meV/atom
N(E_F)	4.399	states/eV/f.u.
E_form	-0.191	eV/atom
volume	282.1	Å³ per cell

```
Na3Hg8
1.0
2.613 1.509 11.927
-2.613 1.509 11.927
0.000 -3.017 11.927
Na Hg
3 8
Direct
0.000 0.000 0.000 Na
0.451 0.451 0.451 Na
0.549 0.549 0.549 Na
0.089 0.089 0.089 Hg
0.177 0.177 0.177 Hg
0.271 0.271 0.271 Hg
0.361 0.361 0.361 Hg
0.639 0.639 0.639 Hg
0.729 0.729 0.729 Hg
0.823 0.823 0.823 Hg
0.911 0.911 0.911 Hg
```


First-principles (GGA-PBE) data for Sb3Cl after structural relaxation, as listed in Alexandria via LeMat-Bulk.

Output
DFT total energy	-3.3230	eV/atom
polymorph energy (0 for the lowest one)	286	meV/atom
N(E_F)	4.990	states/eV/f.u.
uncorrected formation energy	0.23	eV per atom
volume	103.8	Å³ per cell

```
Sb3Cl
1.0
4.700 0.000 0.000
0.000 4.700 0.000
0.000 0.000 4.700
Sb Cl
3 1
Direct
0.000 0.000 0.500 Sb
0.000 0.500 0.000 Sb
0.500 0.000 0.000 Sb
0.500 0.500 0.500 Cl
```